# 1
The following is a PBE calculation of an optimized crystal structure of Tb5Dy2YTm, from Alexandria.

abc: 5.592 10.343 10.536
angles: 90.00 90.00 105.68
Fractional coordinates of all 18 atoms:
Tb 0.520 0.040 0.240
Tb 0.720 0.440 0.811
Tb 0.017 0.035 0.021
Tb 0.480 0.960 0.740
Tb 0.387 0.773 0.022
Tb 0.300 0.599 0.709
Tb 0.700 0.401 0.209
Tb 0.983 0.965 0.521
Tb 0.280 0.560 0.311
Tb 0.613 0.227 0.522
Y 0.589 0.178 0.957
Y 0.411 0.822 0.457
Tm 0.801 0.602 0.512
Tm 0.199 0.398 0.012
Dy 0.113 0.227 0.315
Dy 0.111 0.223 0.737
Dy 0.887 0.773 0.815
Dy 0.889 0.777 0.237

Results
Raw total energy: -83.8 eV/cell
ρ: 7.80 g/cm3

=====

# 2
The following is a PBE calculation of an optimized crystal structure of Tb2Dy5YTm, from Alexandria.

abc: 8.742 8.742 9.758
angles: 116.61 116.61 90.00
Fractional coordinates of all 18 atoms:
Tm 0.250 0.750 0.500
Tm 0.750 0.250 0.500
Dy 0.929 0.429 0.273
Dy 0.500 0.500 0.000
Dy 0.844 0.929 0.273
Dy 0.000 0.000 0.000
Dy 0.071 0.571 0.727
Dy 0.571 0.656 0.727
Dy 0.429 0.344 0.273
Dy 0.656 0.156 0.727
Dy 0.344 0.844 0.273
Dy 0.156 0.071 0.727
Tb 0.615 0.115 0.000
Tb 0.885 0.615 0.000
Tb 0.115 0.385 0.000
Tb 0.385 0.885 0.000
Y 0.750 0.750 0.500
Y 0.250 0.250 0.500

Results
Raw total energy: -81.0 eV/cell
ρ: 7.99 g/cm3

=====

# 3
The following is a PBE calculation of an optimized crystal structure of TbDy2Y5Tm, from Alexandria.

abc: 8.846 8.846 9.726
angles: 117.05 117.05 90.00
Fractional coordinates of all 18 atoms:
Y 0.340 0.840 0.269
Y 0.660 0.160 0.731
Y 0.929 0.429 0.269
Y 0.500 0.500 0.000
Y 0.000 0.000 0.000
Y 0.429 0.340 0.269
Y 0.840 0.929 0.269
Y 0.160 0.071 0.731
Y 0.571 0.660 0.731
Y 0.071 0.571 0.731
Tm 0.250 0.750 0.500
Tm 0.750 0.250 0.500
Dy 0.386 0.886 0.000
Dy 0.886 0.614 0.000
Dy 0.614 0.114 0.000
Dy 0.114 0.386 0.000
Tb 0.750 0.750 0.500
Tb 0.250 0.250 0.500

Results
Raw total energy: -96.0 eV/cell
ρ: 6.25 g/cm3

=====

# 4
The following is a PBE calculation of an optimized crystal structure of TbDy2Y2Tm, from Alexandria.

abc: 3.370 6.539 17.662
angles: 90.00 90.00 90.00
Fractional coordinates of all 12 atoms:
Dy 0.500 0.232 0.647
Dy 0.000 0.732 0.853
Dy 0.500 0.768 0.353
Dy 0.000 0.268 0.147
Y 0.500 0.734 0.683
Y 0.000 0.766 0.183
Y 0.000 0.234 0.817
Y 0.500 0.266 0.317
Tm 0.000 0.000 0.000
Tm 0.500 0.500 0.500
Tb 0.000 0.000 0.500
Tb 0.500 0.500 0.000

Results
Raw total energy: -59.3 eV/cell
ρ: 7.09 g/cm3

=====

# 5
The following is a PBE calculation of an optimized crystal structure of TbDy2YTm, from Alexandria.

abc: 7.183 8.315 7.057
angles: 126.10 90.00 90.00
Fractional coordinates of all 10 atoms:
Tm 0.750 0.011 0.021
Tm 0.250 0.989 0.979
Y 0.250 0.268 0.537
Y 0.750 0.732 0.463
Tb 0.750 0.281 0.562
Tb 0.250 0.719 0.438
Dy 0.000 0.692 0.000
Dy 0.500 0.692 0.000
Dy 0.500 0.308 0.000
Dy 0.000 0.308 0.000

Results
Raw total energy: -45.6 eV/cell
ρ: 7.23 g/cm3

=====

# 6
The following is a PBE calculation of an optimized crystal structure of Tb2DyY6Tm3, from Alexandria.

abc: 6.140 6.140 11.758
angles: 94.98 94.98 119.94
Fractional coordinates of all 12 atoms:
Tb 0.333 0.667 0.000
Tb 0.667 0.333 0.000
Y 0.916 0.583 0.748
Y 0.249 0.249 0.748
Y 0.084 0.417 0.252
Y 0.751 0.751 0.252
Y 0.417 0.084 0.252
Y 0.583 0.916 0.748
Dy 0.000 0.000 0.000
Tm 0.833 0.167 0.500
Tm 0.167 0.833 0.500
Tm 0.500 0.500 0.500

Results
Raw total energy: -65.8 eV/cell
ρ: 6.68 g/cm3

=====

# 7
The following is a PBE calculation of an optimized crystal structure of TbDy2YTm6, from Alexandria.

abc: 9.465 8.691 8.691
angles: 118.18 93.98 93.98
Fractional coordinates of all 20 atoms:
Tm 0.816 0.427 0.977
Tm 0.119 0.711 0.498
Tm 0.881 0.289 0.502
Tm 0.684 0.023 0.573
Tm 0.184 0.573 0.023
Tm 0.943 0.873 0.251
Tm 0.316 0.977 0.427
Tm 0.619 0.498 0.711
Tm 0.381 0.502 0.289
Tm 0.057 0.127 0.749
Tm 0.443 0.251 0.873
Tm 0.557 0.749 0.127
Y 0.250 0.978 0.022
Y 0.750 0.022 0.978
Dy 0.956 0.697 0.806
Dy 0.044 0.303 0.194
Dy 0.456 0.806 0.697
Dy 0.544 0.194 0.303
Tb 0.750 0.591 0.409
Tb 0.250 0.409 0.591

Results
Raw total energy: -91.8 eV/cell
ρ: 8.44 g/cm3

=====

# 8
The following is a PBE calculation of an optimized crystal structure of Tb4Dy2YTm2, from Alexandria.

abc: 3.578 9.461 9.487
angles: 115.27 90.00 100.90
Fractional coordinates of all 9 atoms:
Tb 0.185 0.371 0.333
Tb 0.815 0.629 0.667
Tb 0.519 0.037 0.335
Tb 0.481 0.963 0.665
Y 0.000 0.000 0.000
Dy 0.851 0.703 0.331
Dy 0.149 0.297 0.669
Tm 0.333 0.665 0.000
Tm 0.667 0.335 0.000

Results
Raw total energy: -43.1 eV/cell
ρ: 8.11 g/cm3

=====

# 9
The following is a PBE calculation of an optimized crystal structure of Tb3DyY2Tm6, from Alexandria.

abc: 6.104 6.104 11.662
angles: 95.00 95.00 119.94
Fractional coordinates of all 12 atoms:
Tm 0.416 0.083 0.250
Tm 0.584 0.917 0.750
Tm 0.751 0.751 0.250
Tm 0.917 0.584 0.750
Tm 0.083 0.416 0.250
Tm 0.249 0.249 0.750
Tb 0.167 0.833 0.500
Tb 0.833 0.167 0.500
Tb 0.500 0.500 0.500
Dy 0.000 0.000 0.000
Y 0.333 0.667 0.000
Y 0.667 0.333 0.000

Results
Raw total energy: -58.0 eV/cell
ρ: 8.20 g/cm3

=====

# 10
The following is a PBE calculation of an optimized crystal structure of TbDy2Y6Tm, from Alexandria.

abc: 9.600 8.759 8.759
angles: 117.61 94.30 94.30
Fractional coordinates of all 20 atoms:
Y 0.815 0.430 0.985
Y 0.618 0.495 0.708
Y 0.444 0.247 0.877
Y 0.556 0.753 0.123
Y 0.056 0.123 0.753
Y 0.118 0.708 0.495
Y 0.685 0.015 0.570
Y 0.185 0.570 0.015
Y 0.315 0.985 0.430
Y 0.944 0.877 0.247
Y 0.882 0.292 0.505
Y 0.382 0.505 0.292
Dy 0.954 0.700 0.803
Dy 0.046 0.300 0.197
Dy 0.546 0.197 0.300
Dy 0.454 0.803 0.700
Tb 0.250 0.977 0.023
Tb 0.750 0.023 0.977
Tm 0.750 0.591 0.409
Tm 0.250 0.409 0.591

Results
Raw total energy: -111.8 eV/cell
ρ: 6.10 g/cm3

=====

# 11
The following is a PBE calculation of an optimized crystal structure of TbDy5YTm2, from Alexandria.

abc: 5.572 10.320 10.493
angles: 90.00 90.00 105.66
Fractional coordinates of all 18 atoms:
Tm 0.113 0.226 0.317
Tm 0.110 0.221 0.738
Tm 0.890 0.779 0.238
Tm 0.887 0.774 0.817
Dy 0.300 0.600 0.708
Dy 0.983 0.966 0.524
Dy 0.720 0.440 0.809
Dy 0.390 0.780 0.024
Dy 0.521 0.043 0.239
Dy 0.479 0.957 0.739
Dy 0.017 0.034 0.024
Dy 0.610 0.220 0.524
Dy 0.700 0.400 0.208
Dy 0.280 0.560 0.309
Tb 0.801 0.601 0.512
Tb 0.199 0.399 0.012
Y 0.588 0.175 0.954
Y 0.412 0.825 0.454

Results
Raw total energy: -83.2 eV/cell
ρ: 7.99 g/cm3

=====

# 12
The following is a PBE calculation of an optimized crystal structure of Tb3Dy2YTm6, from Alexandria.

abc: 6.100 6.100 11.650
angles: 95.00 95.00 119.94
Fractional coordinates of all 12 atoms:
Tm 0.916 0.582 0.750
Tm 0.750 0.750 0.250
Tm 0.084 0.418 0.250
Tm 0.582 0.916 0.750
Tm 0.418 0.084 0.250
Tm 0.250 0.250 0.750
Tb 0.833 0.167 0.500
Tb 0.167 0.833 0.500
Tb 0.500 0.500 0.500
Dy 0.333 0.667 0.000
Dy 0.667 0.333 0.000
Y 0.000 0.000 0.000

Results
Raw total energy: -56.1 eV/cell
ρ: 8.55 g/cm3

=====

no.,formation energy (kJ/mol of atoms)
1,15.2
2,29.0
3,27.9
4,25.9
5,38.0
6,2.4
7,11.7
8,0.7
9,2.3
10,11.3
11,15.8
12,2.2